DFT (PBE) results for a relaxed structure of ZrInHg2.

## Properties
ρ	10.9	g/cm3
symmetry	C2/m, No. 12
DFT total energy	-2.996	eV/atom
crystal system	monoclinic

```
ZrInHg2
1.0
-4.986 -1.254 -2.261
0.469 -0.622 6.112
-1.305 2.596 1.086
Hg In Zr
2 1 1
direct
0.000 0.000 0.000
0.500 0.000 0.500
0.000 0.500 0.500
0.500 0.500 0.000
```